Below is a relaxed TcWF3 crystal, with properties calculated at the PBE with a Hubbard U level.

Output
Symmetry ... No. 221
Distance to the lowest polymorph of the same formula ... 366 meV per atom

a b c (Å): 4.3541 4.3541 4.3541
angles (deg): 90.00 90.00 90.00
Fractional coordinates of all 5 atoms:
Tc (0.0000, 0.0000, 0.0000)
W (0.5000, 0.5000, 0.5000)
F (0.0000, 0.0000, 0.5000)
F (0.0000, 0.5000, 0.0000)
F (0.5000, 0.0000, 0.0000)